Here is Zr2Tl2Cl after structural relaxation from the Alexandria database. Energies are from PBE.

Properties
total magnetic moment = 0.000 Bohr magnetons per cell
density of states at the Fermi level = 1.3437 states/eV/atom
electronic total energy = -50.30 eV per cell
formation energy without anion corrections = -0.29 eV/atom
SG = P4/mbm

Cell lengths 6.895, 6.895, 4.917 Å; angles 90.00, 90.00, 90.00 degrees
Element x y z (fractional)
1 Tl 0.659 0.841 0.500
2 Tl 0.341 0.159 0.500
3 Tl 0.159 0.659 0.500
4 Tl 0.841 0.341 0.500
5 Zr 0.655 0.155 0.000
6 Zr 0.345 0.845 0.000
7 Zr 0.845 0.655 0.000
8 Zr 0.155 0.345 0.000
9 Cl 0.000 0.000 0.000
10 Cl 0.500 0.500 0.000